! NaInCo2O6 | the Open Quantum Materials Database | PBE with a Hubbard U | relaxed; values from VASP
! **Symmetry**: No. 15
! **Calculated total energy**: -107.33 eV/cell
! **Magnetic moment**: 10.0 μB per formula unit
&SYSTEM
  ibrav = 0, nat = 20, ntyp = 4
/
ATOMIC_SPECIES
Na 22.99 Na.upf
In 114.82 In.upf
Co 58.93 Co.upf
O 16.00 O.upf
CELL_PARAMETERS angstrom
5.086 -4.523 0.000
5.086 4.523 0.000
-1.530 0.000 5.421
ATOMIC_POSITIONS crystal
Na 0.183 0.817 0.750
Na 0.817 0.183 0.250
In 0.407 0.593 0.250
In 0.593 0.407 0.750
Co 0.114 0.299 0.761
Co 0.299 0.114 0.261
Co 0.701 0.886 0.739
Co 0.886 0.701 0.239
O 0.093 0.180 0.014
O 0.123 0.593 0.353
O 0.180 0.093 0.514
O 0.298 0.481 0.863
O 0.407 0.877 0.147
O 0.481 0.298 0.363
O 0.519 0.702 0.637
O 0.593 0.123 0.853
O 0.702 0.519 0.137
O 0.820 0.907 0.486
O 0.877 0.407 0.647
O 0.907 0.820 0.986